Entry 1:
A relaxed MgCuSb crystal. Source: Alexandria, functional GGA-PBE.

Output
Raw formation energy: 857 meV/atom

```
data_MgCuSb
_chemical_formula_sum 'Mg2 Cu2 Sb2'
_cell_length_a 4.2283
_cell_length_b 4.2283
_cell_length_c 11.0384
_cell_angle_alpha 90.00
_cell_angle_beta 90.00
_cell_angle_gamma 120.00
_symmetry_space_group_name_H-M 'P 63/m m c'
_symmetry_Int_Tables_number 194
_symmetry_space_group_name_Hall '-P 6c 2c'
loop_
_atom_site_label
_atom_site_type_symbol
_atom_site_fract_x
_atom_site_fract_y
_atom_site_fract_z
_atom_site_occupancy
Mg1 Mg 0.0000 0.0000 0.2500 1
Cu1 Cu 0.3333 0.6667 0.2500 1
Sb1 Sb 0.0000 0.0000 0.0000 1
```


Entry 2:
A relaxed Ta3Co2Ni4 crystal. Source: Alexandria, functional GGA-PBE.

```
data_Ta3Co2Ni4
_chemical_formula_sum 'Ta12 Co8 Ni16'
_cell_length_a 8.1671
_cell_length_b 8.6556
_cell_length_c 6.8691
_cell_angle_alpha 90.00
_cell_angle_beta 98.40
_cell_angle_gamma 90.00
_symmetry_space_group_name_H-M 'C 1 2/c 1'
_symmetry_Int_Tables_number 15
loop_
_symmetry_equiv_pos_as_xyz
'x,y,z'
'-x,-y,-z'
'-x,y,-z+1/2'
'x,-y,z+1/2'
'x+1/2,y+1/2,z'
'-x+1/2,-y+1/2,-z'
'-x+1/2,y+1/2,-z+1/2'
'x+1/2,-y+1/2,z+1/2'
loop_
_atom_site_label
_atom_site_type_symbol
_atom_site_fract_x
_atom_site_fract_y
_atom_site_fract_z
_atom_site_occupancy
Ta1 Ta 0.0000 0.0959 0.2500 1
Ta2 Ta 0.1691 0.4128 0.7573 1
Co1 Co 0.1901 0.1444 0.5726 1
Ni1 Ni 0.0180 0.3601 0.0743 1
Ni2 Ni 0.1386 0.1442 0.9178 1
```


Entry 3:
A relaxed La5TbCePm2 crystal. Source: Alexandria, functional GGA-PBE.

```
data_La5TbCePm2
_chemical_formula_sum 'La10 Tb2 Ce2 Pm4'
_cell_length_a 8.2637
_cell_length_b 8.2637
_cell_length_c 9.4276
_cell_angle_alpha 90.00
_cell_angle_beta 90.00
_cell_angle_gamma 90.00
_symmetry_space_group_name_H-M 'P 4/m b m'
_symmetry_Int_Tables_number 127
_symmetry_space_group_name_Hall '-P 4 2ab'
loop_
_atom_site_label
_atom_site_type_symbol
_atom_site_fract_x
_atom_site_fract_y
_atom_site_fract_z
_atom_site_occupancy
La1 La 0.0000 0.0000 0.0000 1
La2 La 0.1940 0.3060 0.2776 1
Tb1 Tb 0.0000 0.0000 0.5000 1
Ce1 Ce 0.0000 0.5000 0.5000 1
Pm1 Pm 0.1301 0.6301 0.0000 1
```


| no. | calculated volume (A^3/atom) | energy (eV per atom) | mass density (g/cm³) |
| --- | --- | --- | --- |
| 1 | 28.48 | -2.41 | 4.073 |
| 2 | 13.34 | -8.19 | 12.382 |
| 3 | 35.77 | -4.70 | 6.621 |